[1]
This record from Alexandria via LeMat-Bulk describes crystalline KTi2As at its relaxed geometry. The functional is GGA-PBEsol.

Summary:
Energy of formation from the pure elements, meV per atom: 430.6
M_tot, μB per formula unit: 0.00

Geometry as CIF:
```
data_KTi2As
_chemical_formula_sum 'K4 Ti8 As4'
_symmetry_space_group_name_H-M 'I -4 2 d'
_symmetry_Int_Tables_number 122
_symmetry_space_group_name_Hall 'I -4 2bw'
_cell_length_a 4.699
_cell_length_b 4.699
_cell_length_c 18.542
_cell_angle_alpha 90.00
_cell_angle_beta 90.00
_cell_angle_gamma 90.00
loop_
_atom_site_label
_atom_site_type_symbol
_atom_site_fract_x
_atom_site_fract_y
_atom_site_fract_z
K1 K 0.000 0.000 0.000
Ti1 Ti 0.012 0.250 0.625
As1 As 0.000 0.000 0.500
```



[2]
This record from Alexandria via LeMat-Bulk describes crystalline KTl2As at its relaxed geometry. The functional is GGA-PBEsol.

Summary:
Energy of formation from the pure elements, meV per atom: -137.4
Polymorph energy (0 for the lowest one), meV per atom: 0.0
M_tot, μB per formula unit: 0.00

Geometry as CIF:
```
data_KTl2As
_chemical_formula_sum 'K2 Tl4 As2'
_symmetry_space_group_name_H-M 'I m m m'
_symmetry_Int_Tables_number 71
_symmetry_space_group_name_Hall '-I 2 2'
_cell_length_a 3.402
_cell_length_b 5.865
_cell_length_c 11.430
_cell_angle_alpha 90.00
_cell_angle_beta 90.00
_cell_angle_gamma 90.00
loop_
_atom_site_label
_atom_site_type_symbol
_atom_site_fract_x
_atom_site_fract_y
_atom_site_fract_z
K1 K 0.000 0.000 0.000
Tl1 Tl 0.000 0.500 0.210
As1 As 0.000 0.000 0.500
```